No. 1
Material: Zn2PCl
Method: DFT, PBE
State: optimized geometry

```
data_Zn2PCl
_chemical_formula_sum 'Zn8 P4 Cl4'
_cell_length_a 6.555
_cell_length_b 6.555
_cell_length_c 6.555
_cell_angle_alpha 90.00
_cell_angle_beta 90.00
_cell_angle_gamma 90.00
_space_group_name_H-M_alt 'F -4 3 m'
_space_group_IT_number 216
_space_group_name_Hall 'F -4 2 3'
loop_
_atom_site_label
_atom_site_type_symbol
_atom_site_fract_x
_atom_site_fract_y
_atom_site_fract_z
_atom_site_occupancy
Zn1 Zn 0.000 0.000 0.000 1
Zn2 Zn 0.250 0.250 0.250 1
P1 P 0.000 0.000 0.500 1
Cl1 Cl 0.250 0.250 0.750 1
```

Values from the calculation:
Formation energy without anion corrections: 468 meV per atom
Energy above the lowest structure with this stoichiometry: 997 meV per atom


No. 2
Material: NbNi2PtRh
Method: DFT, PBE
State: optimized geometry

```
data_NbNi2PtRh
_chemical_formula_sum 'Nb4 Ni8 Pt4 Rh4'
_cell_length_a 3.940
_cell_length_b 9.183
_cell_length_c 8.080
_cell_angle_alpha 90.00
_cell_angle_beta 90.00
_cell_angle_gamma 90.00
_space_group_name_H-M_alt 'C m c m'
_space_group_IT_number 63
_space_group_name_Hall '-C 2c 2'
loop_
_atom_site_label
_atom_site_type_symbol
_atom_site_fract_x
_atom_site_fract_y
_atom_site_fract_z
_atom_site_occupancy
Nb1 Nb 0.000 0.030 0.250 1
Ni1 Ni 0.000 0.188 0.540 1
Pt1 Pt 0.000 0.320 0.250 1
Rh1 Rh 0.000 0.500 0.000 1
```

Values from the calculation:
ΔH_f (0 K): -1.030 eV/f.u.


No. 3
Material: K3TaGa
Method: DFT, PBE
State: optimized geometry

```
data_K3TaGa
_chemical_formula_sum 'K3 Ta1 Ga1'
_cell_length_a 6.311
_cell_length_b 6.311
_cell_length_c 6.311
_cell_angle_alpha 90.00
_cell_angle_beta 90.00
_cell_angle_gamma 90.00
_space_group_name_H-M_alt 'P m -3 m'
_space_group_IT_number 221
_space_group_name_Hall '-P 4 2 3'
loop_
_atom_site_label
_atom_site_type_symbol
_atom_site_fract_x
_atom_site_fract_y
_atom_site_fract_z
_atom_site_occupancy
K1 K 0.000 0.000 0.500 1
Ta1 Ta 0.500 0.500 0.500 1
Ga1 Ga 0.000 0.000 0.000 1
```

Values from the calculation:
ΔH_f (0 K): 7.369 eV/f.u.
Energy above the lowest structure with this stoichiometry: 0 meV per atom


No. 4
Material: La2Nd6Rh
Method: DFT, PBE
State: optimized geometry

```
data_La2Nd6Rh
_chemical_formula_sum 'La4 Nd12 Rh2'
_cell_length_a 17.850
_cell_length_b 9.544
_cell_length_c 3.741
_cell_angle_alpha 90.00
_cell_angle_beta 90.26
_cell_angle_gamma 90.00
_space_group_name_H-M_alt 'C 1 2/m 1'
_space_group_IT_number 12
loop_
_space_group_symop_operation_xyz
'x,y,z'
'-x,-y,-z'
'-x,y,-z'
'x,-y,z'
'x+1/2,y+1/2,z'
'-x+1/2,-y+1/2,-z'
'-x+1/2,y+1/2,-z'
'x+1/2,-y+1/2,z'
loop_
_atom_site_label
_atom_site_type_symbol
_atom_site_fract_x
_atom_site_fract_y
_atom_site_fract_z
_atom_site_occupancy
La1 La 0.167 0.000 0.496 1
Nd1 Nd 0.000 0.286 0.500 1
Nd2 Nd 0.168 0.334 0.002 1
Rh1 Rh 0.000 0.500 0.000 1
```

Values from the calculation:
ΔH_f (0 K): 0.133 eV/f.u.


| no. | energy (eV per atom) |
| --- | --- |
| 1 | -1.983 |
| 2 | -7.211 |
| 3 | -2.161 |
| 4 | -5.076 |